! ScReB3 | Alexandria via LeMat-Bulk | PBE | optimized geometry; values from VASP
! DFT formation energy in eV/atom: 2.357
! ΔE to the lowest computed polymorph in eV per formula unit: 14.774
! Crystal system: cubic
! Total magnetization in μB per formula unit: 0.0
&SYSTEM
  ibrav = 0, nat = 5, ntyp = 3
/
ATOMIC_SPECIES
B 10.81 B.upf
Sc 44.96 Sc.upf
Re 186.21 Re.upf
CELL_PARAMETERS angstrom
-1.2772 -3.2911 -1.7804
2.4093 -2.1627 2.2695
-2.8630 -0.3517 2.7041
ATOMIC_POSITIONS crystal
B 0.0000 0.5000 0.0000
Sc 0.0000 0.0000 0.0000
B 0.0000 0.0000 0.5000
B 0.5000 0.0000 0.0000
Re 0.5000 0.5000 0.5000